{
  "formula": "BaCaMg2",
  "functional": "PBEsol",
  "state": "optimized geometry",
  "space_group": "P4/mmm (123)",
  "de_polymorph_mev_per_atom": 1,
  "e_form_kcal_per_mol_atoms": -1.6,
  "m_tot_mub_per_atom": 0.000,
  "lattice_angstrom": [[4.0992, 0.0000, 0.0000], [0.0000, 4.0992, 0.0000], [0.0000, 0.0000, 8.2324]],
  "species": ["Ba", "Ca", "Mg", "Mg"],
  "frac_coords": [[0.0000, 0.0000, 0.0000], [0.0000, 0.0000, 0.5000], [0.5000, 0.5000, 0.2827], [0.5000, 0.5000, 0.7173]]
}